# 1
## Tl4SnHg (PBE)

Data for Tl4SnHg after structural relaxation.

- Uncorrected energy: -2.28 eV per atom
- Offset from the most stable computed form: 0.000 eV/atom
- Energy of formation from the pure elements: 19.6 meV per atom

Cell and atoms, written as POSCAR:
```
Tl4SnHg
1.0
5.545 0.000 0.000
0.000 7.894 0.000
-2.685 0.000 8.150
Tl Sn Hg
8 2 2
direct
0.000 0.000 0.000 Tl
0.000 0.500 0.000 Tl
0.326 0.004 0.654 Tl
0.326 0.496 0.654 Tl
0.493 0.750 0.986 Tl
0.507 0.250 0.014 Tl
0.674 0.504 0.346 Tl
0.674 0.996 0.346 Tl
0.165 0.250 0.326 Sn
0.835 0.750 0.674 Sn
0.166 0.750 0.329 Hg
0.834 0.250 0.671 Hg
```

=====

# 2
## Tl6SnHg12 (PBE)

Data for Tl6SnHg12 after structural relaxation.

- Uncorrected energy: -1.14 eV per atom
- Offset from the most stable computed form: 0.000 eV/atom
- Energy of formation from the pure elements: 10.4 meV per atom

Cell and atoms, written as POSCAR:
```
Tl6SnHg12
1.0
6.269 3.620 4.160
-6.269 3.620 4.160
0.000 -7.239 4.160
Tl Sn Hg
6 1 12
direct
0.172 0.322 0.742 Tl
0.258 0.828 0.678 Tl
0.322 0.742 0.172 Tl
0.678 0.258 0.828 Tl
0.742 0.172 0.322 Tl
0.828 0.678 0.258 Tl
0.500 0.500 0.500 Sn
0.020 0.305 0.074 Hg
0.074 0.020 0.305 Hg
0.140 0.511 0.399 Hg
0.305 0.074 0.020 Hg
0.399 0.140 0.511 Hg
0.489 0.601 0.860 Hg
0.511 0.399 0.140 Hg
0.601 0.860 0.489 Hg
0.695 0.926 0.980 Hg
0.860 0.489 0.601 Hg
0.926 0.980 0.695 Hg
0.980 0.695 0.926 Hg
```

=====

# 3
## Tl6SnHg2 (PBE)

Data for Tl6SnHg2 after structural relaxation.

- Uncorrected energy: -2.07 eV per atom
- Offset from the most stable computed form: 0.006 eV/atom
- Energy of formation from the pure elements: 15.3 meV per atom

Cell and atoms, written as POSCAR:
```
Tl6SnHg2
1.0
6.379 -1.896 0.000
6.379 1.896 0.000
-3.486 0.000 10.929
Tl Sn Hg
6 1 2
direct
0.019 0.019 0.342 Tl
0.318 0.318 0.418 Tl
0.335 0.335 0.115 Tl
0.665 0.665 0.885 Tl
0.682 0.682 0.582 Tl
0.981 0.981 0.658 Tl
0.000 0.000 0.000 Sn
0.346 0.346 0.798 Hg
0.654 0.654 0.202 Hg
```

=====

# 4
## TlSnHg2 (PBE)

Data for TlSnHg2 after structural relaxation.

- Uncorrected energy: -1.70 eV per atom
- Energy of formation from the pure elements: 40.5 meV per atom

Cell and atoms, written as POSCAR:
```
TlSnHg2
1.0
3.751 0.000 0.000
0.000 3.751 0.000
0.000 0.000 7.769
Tl Sn Hg
1 1 2
direct
0.000 0.000 0.000 Tl
0.000 0.000 0.500 Sn
0.500 0.500 0.261 Hg
0.500 0.500 0.739 Hg
```

=====

# 5
## Tl5Sn2Hg2 (PBE)

Data for Tl5Sn2Hg2 after structural relaxation.

- Uncorrected energy: -2.25 eV per atom
- Energy of formation from the pure elements: 20.7 meV per atom

Cell and atoms, written as POSCAR:
```
Tl5Sn2Hg2
1.0
8.686 -1.749 0.000
8.686 1.749 0.000
-1.320 0.000 8.759
Tl Sn Hg
5 2 2
direct
0.000 0.000 0.000 Tl
0.126 0.126 0.708 Tl
0.446 0.446 0.651 Tl
0.554 0.554 0.349 Tl
0.874 0.874 0.292 Tl
0.220 0.220 0.357 Sn
0.780 0.780 0.643 Sn
0.327 0.327 0.961 Hg
0.673 0.673 0.039 Hg
```

=====

# 6
## Tl2Sn2Hg (PBE)

Data for Tl2Sn2Hg after structural relaxation.

- Uncorrected energy: -2.50 eV per atom
- Offset from the most stable computed form: 0.108 eV/atom
- Energy of formation from the pure elements: 111.7 meV per atom

Cell and atoms, written as POSCAR:
```
Tl2Sn2Hg
1.0
9.447 0.000 0.000
0.000 9.447 0.000
0.000 0.000 3.482
Tl Sn Hg
4 4 2
direct
0.176 0.324 0.000 Tl
0.324 0.824 0.000 Tl
0.676 0.176 0.000 Tl
0.824 0.676 0.000 Tl
0.118 0.618 0.500 Sn
0.382 0.118 0.500 Sn
0.618 0.882 0.500 Sn
0.882 0.382 0.500 Sn
0.000 0.000 0.000 Hg
0.500 0.500 0.000 Hg
```

=====

# 7
## Tl6SnHg (PBE)

Data for Tl6SnHg after structural relaxation.

- Uncorrected energy: -2.29 eV per atom
- Offset from the most stable computed form: 0.000 eV/atom
- Energy of formation from the pure elements: 21.3 meV per atom

Cell and atoms, written as POSCAR:
```
Tl6SnHg
1.0
5.192 -5.194 0.000
5.192 5.194 0.000
0.000 0.000 4.414
Tl Sn Hg
6 1 1
direct
0.000 0.500 0.500 Tl
0.248 0.752 0.000 Tl
0.250 0.250 0.000 Tl
0.500 0.000 0.500 Tl
0.750 0.750 0.000 Tl
0.752 0.248 0.000 Tl
0.000 0.000 0.500 Sn
0.500 0.500 0.500 Hg
```

=====

# 8
## Tl16SnHg12 (PBE)

Data for Tl16SnHg12 after structural relaxation.

- Uncorrected energy: -1.57 eV per atom
- Energy of formation from the pure elements: 2.0 meV per atom

Cell and atoms, written as POSCAR:
```
Tl16SnHg12
1.0
6.060 -8.110 0.000
6.060 8.110 0.000
-4.967 0.000 8.621
Tl Sn Hg
16 1 12
direct
0.000 0.000 0.000 Tl
0.021 0.634 0.981 Tl
0.024 0.024 0.655 Tl
0.025 0.385 0.650 Tl
0.027 0.335 0.245 Tl
0.312 0.708 0.340 Tl
0.335 0.027 0.245 Tl
0.362 0.620 0.659 Tl
0.385 0.025 0.650 Tl
0.417 0.727 0.048 Tl
0.418 0.418 0.344 Tl
0.620 0.362 0.659 Tl
0.634 0.021 0.981 Tl
0.693 0.693 0.323 Tl
0.708 0.312 0.340 Tl
0.727 0.417 0.048 Tl
0.712 0.712 0.971 Sn
0.024 0.634 0.461 Hg
0.037 0.848 0.302 Hg
0.186 0.386 0.010 Hg
0.210 0.836 0.824 Hg
0.216 0.216 0.474 Hg
0.386 0.186 0.010 Hg
0.393 0.393 0.835 Hg
0.634 0.024 0.461 Hg
0.656 0.842 0.663 Hg
0.836 0.210 0.824 Hg
0.842 0.656 0.663 Hg
0.848 0.037 0.302 Hg
```

=====

# 9
## Tl4SnHg15 (PBE)

Data for Tl4SnHg15 after structural relaxation.

- Uncorrected energy: -0.90 eV per atom
- Energy of formation from the pure elements: -4.0 meV per atom

Cell and atoms, written as POSCAR:
```
Tl4SnHg15
1.0
4.694 0.000 0.000
0.000 4.756 0.000
0.000 0.000 25.084
Tl Sn Hg
4 1 15
direct
0.000 0.000 0.104 Tl
0.000 0.000 0.305 Tl
0.000 0.000 0.695 Tl
0.000 0.000 0.896 Tl
0.000 0.000 0.500 Sn
0.000 0.500 0.000 Hg
0.000 0.500 0.205 Hg
0.000 0.500 0.405 Hg
0.000 0.500 0.595 Hg
0.000 0.500 0.795 Hg
0.500 0.000 0.000 Hg
0.500 0.000 0.205 Hg
0.500 0.000 0.406 Hg
0.500 0.000 0.594 Hg
0.500 0.000 0.795 Hg
0.500 0.500 0.102 Hg
0.500 0.500 0.308 Hg
0.500 0.500 0.500 Hg
0.500 0.500 0.692 Hg
0.500 0.500 0.898 Hg
```

=====

# 10
## Tl7Sn2Hg2 (PBE)

Data for Tl7Sn2Hg2 after structural relaxation.

- Uncorrected energy: -2.25 eV per atom
- Energy of formation from the pure elements: 38.7 meV per atom

Cell and atoms, written as POSCAR:
```
Tl7Sn2Hg2
1.0
3.939 -5.396 0.000
3.939 5.396 0.000
-1.451 0.000 8.067
Tl Sn Hg
7 2 2
direct
0.000 0.000 0.000 Tl
0.085 0.533 0.820 Tl
0.273 0.273 0.501 Tl
0.467 0.915 0.180 Tl
0.533 0.085 0.820 Tl
0.727 0.727 0.499 Tl
0.915 0.467 0.180 Tl
0.404 0.404 0.147 Sn
0.596 0.596 0.853 Sn
0.221 0.779 0.500 Hg
0.779 0.221 0.500 Hg
```

=====

Number 1: DOS at the Fermi energy 5.957 states/eV per cell. Number 2: DOS at the Fermi energy 6.025 states/eV per cell. Number 3: DOS at the Fermi energy 3.605 states/eV per cell. Number 4: DOS at the Fermi energy 0.850 states/eV per cell. Number 5: DOS at the Fermi energy 3.522 states/eV per cell. Number 6: DOS at the Fermi energy 5.150 states/eV per cell. Number 7: DOS at the Fermi energy 4.031 states/eV per cell. Number 8: DOS at the Fermi energy 11.816 states/eV per cell. Number 9: DOS at the Fermi energy 6.591 states/eV per cell. Number 10: DOS at the Fermi energy 5.119 states/eV per cell.